PuCdSbPt (PBE, optimized geometry); symmetry = F-43m (216); mass density = 12494 kg/m3; ΔE_f (raw) = -0.37 eV/atom
1.0
-3.452 0.624 -3.592
-2.112 -4.002 -2.175
-4.809 -1.112 0.919
Sb Cd Pt Pu
1 1 1 1
Cartesian
0.000 0.000 0.000
-7.779 -3.367 -3.636
-5.186 -2.245 -2.424
-2.593 -1.122 -1.212